Density functional theory data (PBE) for a geometry-optimized TbPu2Np structure. Values from VASP.

Volume in Å³/atom: 25.73
Energy of formation from the pure elements in eV per atom: 0.5670

```
&SYSTEM
  ibrav = 0, nat = 4, ntyp = 3
/
ATOMIC_SPECIES
Np 237.00 Np.upf
Tb 158.93 Tb.upf
Pu 244.00 Pu.upf
CELL_PARAMETERS angstrom
3.6881 0.0000 0.0000
1.8441 3.1940 0.0000
1.8441 1.0647 8.7381
ATOMIC_POSITIONS crystal
Np 0.5000 0.5000 0.5000
Tb 0.0000 0.0000 0.0000
Pu 0.1172 0.1172 0.6484
Pu 0.8828 0.8828 0.3516
```